# ZrTaFe | Alexandria | PBE | relaxed
# Distance to the lowest polymorph of the same formula: 0.00 eV per formula unit
# VASP energy: -9.78 eV/atom
# E_form: -0.16 eV/atom
# Density: 10.57 g cm⁻³
# Total moment: 0.095 μB per atom
# D(E_F): 10.03 states/eV per cell
data_ZrTaFe
_space_group_name_H-M_alt 'I m m a'
_space_group_IT_number 74
_space_group_name_Hall '-I 2b 2'
_cell_length_a 5.364
_cell_length_b 5.542
_cell_length_c 6.935
_cell_angle_alpha 90.00
_cell_angle_beta 90.00
_cell_angle_gamma 90.00
loop_
_atom_site_label
_atom_site_type_symbol
_atom_site_fract_x
_atom_site_fract_y
_atom_site_fract_z
Zr1 Zr 0.000 0.250 0.111
Ta1 Ta 0.000 0.000 0.500
Fe1 Fe 0.250 0.250 0.750